DFT (GGA-PBE) results for KInBiAu3 after structural relaxation.

Values from the calculation:
Space-group type: Cmcm, No. 63
ΔH_f (0 K) (meV/atom): -164.4
E (eV for the cell shown): -37.1
Total magnetic moment (μB/atom): 0.000

Cell lengths 8.1938, 6.9318, 7.3547 Å; angles 118.12, 90.00, 90.00 degrees
Last column: nearest neighbours and their distance in Å.
Fractional positions:
1 Au 0.7500 0.6861 0.3722  1 In 2.68, 1 Bi 2.77
2 K 0.2500 0.8047 0.6095  6 Au 3.47-3.55, 1 Bi 3.59
3 K 0.7500 0.1953 0.3905  6 Au 3.47-3.55, 1 Bi 3.59
4 Bi 0.7500 0.4722 0.9444  5 Au 2.77-2.93
5 Au 0.5000 0.7977 0.0000  1 Au 2.80, 2 In 2.85, 2 Bi 2.93
6 Au 0.2500 0.3139 0.6278  1 In 2.68, 1 Bi 2.77
7 In 0.7500 0.8924 0.7847  5 Au 2.68-2.85
8 In 0.2500 0.1076 0.2153  5 Au 2.68-2.85
9 Au 0.0000 0.2023 0.0000  1 Au 2.80, 2 In 2.85, 2 Bi 2.93
10 Au 0.5000 0.2023 0.0000  1 Au 2.80, 2 In 2.85, 2 Bi 2.93
11 Au 0.0000 0.7977 0.0000  1 Au 2.80, 2 In 2.85, 2 Bi 2.93
12 Bi 0.2500 0.5278 0.0556  5 Au 2.77-2.93